KO3 | PBEsol | optimized geometry

The calculation puts the formation energy without anion corrections at -0.621 eV/atom. Its energy above the lowest structure with this stoichiometry is 0.00 eV/f.u.

The space group is I4/mcm (No. 140) and the conventional cell measures 8.624, 8.624 and 7.040 Å, with angles of 90.00, 90.00 and 90.00 degrees. The inequivalent atoms are K at (0.000, 0.000, 0.250), K at (0.000, 0.500, 0.250), O at (0.065, 0.250, 0.000) and O at (0.219, 0.281, 0.000).